# 1
# Pr2SmPt (PBE, optimized geometry)
# **Calculated total energy**: -5.696 eV per atom
# **Polymorph energy (0 for the lowest one)**: 0.0 meV/atom
# **Volume**: 491 Å³/cell
# **Formation energy from the elements**: -0.6161 eV/atom
data_Pr2SmPt
_cell_length_a 7.2602
_cell_length_b 10.1537
_cell_length_c 6.6638
_cell_angle_alpha 90.00
_cell_angle_beta 90.00
_cell_angle_gamma 90.00
_symmetry_space_group_name_H-M 'P n m a'
_symmetry_Int_Tables_number 62
loop_
_symmetry_equiv_pos_as_xyz
'x,y,z'
'-x,-y,-z'
'-x+1/2,-y,z+1/2'
'x+1/2,y,-z+1/2'
'x+1/2,-y+1/2,-z+1/2'
'-x+1/2,y+1/2,z+1/2'
'-x,y+1/2,-z'
'x,-y+1/2,z'
loop_
_atom_site_label
_atom_site_fract_x
_atom_site_fract_y
_atom_site_fract_z
_atom_site_occupancy
Pr1 0.1796 0.0621 0.1734 1
Sm1 0.0292 0.2500 0.6449 1
Pt1 0.1179 0.7500 0.9425 1

# 2
# Zr3SiBi (PBE, optimized geometry)
# **Calculated total energy**: -5.725 eV per atom
# **Polymorph energy (0 for the lowest one)**: 1268.9 meV/atom
# **Uncorrected formation energy**: 29.16 kcal/mol of atoms
# **Volume**: 154 Å³/cell
data_Zr3SiBi
_cell_length_a 5.3591
_cell_length_b 5.3591
_cell_length_c 5.3591
_cell_angle_alpha 90.00
_cell_angle_beta 90.00
_cell_angle_gamma 90.00
_symmetry_space_group_name_H-M 'P m -3 m'
_symmetry_Int_Tables_number 221
_symmetry_space_group_name_Hall '-P 4 2 3'
loop_
_atom_site_label
_atom_site_fract_x
_atom_site_fract_y
_atom_site_fract_z
_atom_site_occupancy
Zr1 0.0000 0.0000 0.5000 1
Si1 0.5000 0.5000 0.5000 1
Bi1 0.0000 0.0000 0.0000 1

# 3
# InAg2Ru (PBE, optimized geometry)
# **Calculated total energy**: -4.193 eV per atom
# **Volume**: 140 Å³/cell
# **Formation energy from the elements**: 0.2357 eV/atom
data_InAg2Ru
_cell_length_a 4.6256
_cell_length_b 4.6256
_cell_length_c 6.5247
_cell_angle_alpha 90.00
_cell_angle_beta 90.00
_cell_angle_gamma 90.00
_symmetry_space_group_name_H-M 'I -4 m 2'
_symmetry_Int_Tables_number 119
_symmetry_space_group_name_Hall 'I -4 -2'
loop_
_atom_site_label
_atom_site_fract_x
_atom_site_fract_y
_atom_site_fract_z
_atom_site_occupancy
In1 0.0000 0.0000 0.0000 1
Ag1 0.0000 0.0000 0.5000 1
Ag2 0.0000 0.5000 0.2500 1
Ru1 0.0000 0.5000 0.7500 1

# 4
# Tm4Ga3Pd (PBE, optimized geometry)
# **Calculated total energy**: -4.699 eV per atom
# **Volume**: 180 Å³/cell
# **Formation energy from the elements**: -0.6794 eV/atom
data_Tm4Ga3Pd
_cell_length_a 3.7972
_cell_length_b 4.3288
_cell_length_c 10.9597
_cell_angle_alpha 90.00
_cell_angle_beta 90.00
_cell_angle_gamma 90.00
_symmetry_space_group_name_H-M 'P m m 2'
_symmetry_Int_Tables_number 25
loop_
_symmetry_equiv_pos_as_xyz
'x,y,z'
'-x,-y,z'
'-x,y,z'
'x,-y,z'
loop_
_atom_site_label
_atom_site_fract_x
_atom_site_fract_y
_atom_site_fract_z
_atom_site_occupancy
Tm1 0.0000 0.0000 0.0000 1
Tm2 0.0000 0.5000 0.2767 1
Tm3 0.5000 0.0000 0.4821 1
Tm4 0.5000 0.5000 0.7840 1
Ga1 0.0000 0.0000 0.7105 1
Ga2 0.0000 0.5000 0.5591 1
Ga3 0.5000 0.5000 0.0548 1
Pd1 0.5000 0.0000 0.2133 1

# 5
# Ca3InGa2Au9 (PBE, optimized geometry)
# **Calculated total energy**: -3.261 eV per atom
# **Volume**: 372 Å³/cell
# **Formation energy from the elements**: -0.3076 eV/atom
data_Ca3InGa2Au9
_cell_length_a 8.1257
_cell_length_b 8.1257
_cell_length_c 6.5136
_cell_angle_alpha 90.00
_cell_angle_beta 90.00
_cell_angle_gamma 120.00
_symmetry_space_group_name_H-M 'P -3 m 1'
_symmetry_Int_Tables_number 164
_symmetry_space_group_name_Hall '-P 3 2"'
loop_
_atom_site_label
_atom_site_fract_x
_atom_site_fract_y
_atom_site_fract_z
_atom_site_occupancy
Ca1 0.0000 0.0000 0.0000 1
Ca2 0.3333 0.6667 0.6581 1
In1 0.0000 0.0000 0.5000 1
Ga1 0.3333 0.6667 0.1491 1
Au1 0.0000 0.5000 0.0000 1
Au2 0.1721 0.3443 0.3195 1

# 6
# CaSc2Te2 (PBE, optimized geometry)
# **Calculated total energy**: -5.087 eV per atom
# **Polymorph energy (0 for the lowest one)**: 0.0 meV/atom
# **Uncorrected formation energy**: -20.69 kcal/mol of atoms
# **Volume**: 257 Å³/cell
data_CaSc2Te2
_cell_length_a 8.1523
_cell_length_b 8.1523
_cell_length_c 3.8597
_cell_angle_alpha 90.00
_cell_angle_beta 90.00
_cell_angle_gamma 90.00
_symmetry_space_group_name_H-M 'P 4/m b m'
_symmetry_Int_Tables_number 127
_symmetry_space_group_name_Hall '-P 4 2ab'
loop_
_atom_site_label
_atom_site_fract_x
_atom_site_fract_y
_atom_site_fract_z
_atom_site_occupancy
Ca1 0.0000 0.0000 0.0000 1
Sc1 0.1423 0.3577 0.5000 1
Te1 0.1495 0.6495 0.0000 1